# 1
Computed, not measured: a relaxed structure of Ho7Te2Au2 at the GGA-PBE level of DFT.

space group	C2/m (12)
magnetic moment	0.24	μB per formula unit
calculated total energy	-4.908	eV per atom

Cell and atoms, written as POSCAR:
```
Ho7Te2Au2
1.0
9.0466 -1.9990 0.0000
9.0466 1.9990 0.0000
-4.2510 0.0000 16.6031
Ho Te Au
14 4 4
Direct
0.0011 0.0011 0.3328
0.4256 0.4256 0.8286
0.2196 0.2196 0.8056
0.3381 0.3381 0.0193
0.5000 0.5000 0.5000
0.8094 0.8094 0.6804
0.6619 0.6619 0.9807
0.1756 0.1756 0.5322
0.7804 0.7804 0.1944
0.0000 0.0000 0.0000
0.5744 0.5744 0.1714
0.8244 0.8244 0.4678
0.9989 0.9989 0.6672
0.1906 0.1906 0.3196
0.0653 0.0653 0.8498
0.6339 0.6339 0.6625
0.9347 0.9347 0.1502
0.3661 0.3661 0.3375
0.8292 0.8292 0.8891
0.1708 0.1708 0.1109
0.3812 0.3812 0.6005
0.6188 0.6188 0.3995
```

# 2
Computed, not measured: a relaxed structure of AlSbMo4N2 at the GGA-PBE level of DFT.

space group	P-6m2 (187)
magnetic moment	0.01	μB per formula unit
calculated total energy	-8.507	eV per atom

Cell and atoms, written as POSCAR:
```
AlSbMo4N2
1.0
3.2133 0.0000 0.0000
-1.6066 2.7828 0.0000
0.0000 0.0000 12.8333
Mo N Al Sb
4 2 1 1
Direct
0.0000 0.0000 0.3249
0.0000 0.0000 0.6751
0.6667 0.3333 0.1637
0.6667 0.3333 0.8363
0.3333 0.6667 0.2488
0.3333 0.6667 0.7512
0.0000 0.0000 0.0000
0.6667 0.3333 0.5000
```

# 3
Computed, not measured: a relaxed structure of Na2NbMoH6 at the GGA-PBE level of DFT.

space group	P-1 (2)
magnetic moment	0.01	μB per formula unit
calculated total energy	-4.285	eV per atom

Cell and atoms, written as POSCAR:
```
Na2NbMoH6
1.0
-1.9876 3.7524 2.7281
-3.8506 1.2442 -3.1732
-6.0654 -4.0788 4.0199
H Na Nb Mo
12 4 2 2
Direct
0.5832 0.8222 0.1454
0.0101 0.3324 0.8165
0.9172 0.1679 0.3560
0.1869 0.9480 0.8642
0.4168 0.1778 0.8546
0.9898 0.6677 0.1834
0.6133 0.8462 0.5848
0.5993 0.3563 0.6285
0.3867 0.1538 0.4152
0.4010 0.6438 0.3715
0.0827 0.8318 0.6440
0.8131 0.0520 0.1358
0.3371 0.5748 0.8584
0.7751 0.9582 0.8822
0.2249 0.0419 0.1178
0.6629 0.4251 0.1416
0.7122 0.8603 0.3298
0.2877 0.1397 0.6703
0.0967 0.4664 0.3714
0.9031 0.5337 0.6287
```

# 4
Computed, not measured: a relaxed structure of TbFePt at the GGA-PBE level of DFT.

space group	F-43m (216)
ΔH_f (0 K)	-0.276	eV/atom
magnetic moment	3.04	μB per formula unit

Cell and atoms, written as POSCAR:
```
TbFePt
1.0
0.0000 3.2178 3.2178
3.2178 0.0000 3.2178
3.2178 3.2178 0.0000
Fe Pt Tb
1 1 1
Direct
0.2500 0.2500 0.2500
0.0000 0.0000 0.0000
0.7500 0.7500 0.7500
```

# 5
Computed, not measured: a relaxed structure of Lu2Sc4Pb3C3 at the GGA-PBE level of DFT.

space group	C2/c (15)
magnetic moment	0.00	μB per formula unit
calculated total energy	-6.683	eV per atom

Cell and atoms, written as POSCAR:
```
Lu2Sc4Pb3C3
1.0
1.9917 4.5090 3.4123
-3.7945 4.2504 1.8649
-2.3905 -11.0975 10.7934
C Sc Pb Lu
6 8 6 4
Direct
0.3298 0.8403 0.0000
0.1597 0.6702 0.5000
0.8403 0.3298 0.5000
0.6702 0.1597 0.0000
0.5000 0.0000 0.5000
0.0000 0.5000 0.0000
0.3072 0.1411 0.9221
0.6928 0.8589 0.0779
0.8069 0.9743 0.4221
0.8589 0.6928 0.5779
0.9743 0.8069 0.9221
0.0257 0.1931 0.0779
0.1411 0.3072 0.4221
0.1931 0.0257 0.5779
0.5835 0.7642 0.7500
0.7642 0.5835 0.2500
0.4165 0.2358 0.2500
0.9310 0.0690 0.7500
0.2358 0.4165 0.7500
0.0690 0.9310 0.2500
0.5283 0.3623 0.5850
0.3623 0.5283 0.0850
0.4717 0.6377 0.4150
0.6377 0.4717 0.9150
```

# 6
Computed, not measured: a relaxed structure of PrCoSi2Ir at the GGA-PBE level of DFT.

space group	I-4m2 (119)
magnetic moment	0.01	μB per formula unit
calculated total energy	-7.204	eV per atom

Cell and atoms, written as POSCAR:
```
PrCoSi2Ir
1.0
-2.0173 2.0173 5.1046
2.0173 -2.0173 5.1046
2.0173 2.0173 -5.1046
Ir Pr Si Co
1 1 2 1
Direct
0.0000 0.0000 0.0000
0.2500 0.7500 0.5000
0.8776 0.3776 0.5000
0.6224 0.1224 0.5000
0.5000 0.5000 0.0000
```

# 7
Computed, not measured: a relaxed structure of NdTl2O4 at the GGA-PBE level of DFT.

space group	Fd-3m (227)
magnetic moment	0.00	μB per formula unit
calculated total energy	-5.657	eV per atom

Cell and atoms, written as POSCAR:
```
NdTl2O4
1.0
4.9207 -4.9214 0.0000
-4.9207 0.0000 -4.9214
4.9207 4.9214 0.0000
O Tl Nd
8 4 2
Direct
0.6023 0.7348 0.8675
0.6175 0.2348 0.8523
0.1325 0.2652 0.3977
0.6175 0.7652 0.3827
0.1327 0.2652 0.8675
0.1477 0.7652 0.3825
0.6173 0.2348 0.3825
0.1325 0.7348 0.8673
0.8750 0.2500 0.6250
0.3750 0.2500 0.6250
0.3750 0.7500 0.1250
0.3750 0.7500 0.6250
0.0000 0.0000 0.0000
0.7500 0.5000 0.2500
```

# 8
Computed, not measured: a relaxed structure of MgZrSiOs at the GGA-PBE level of DFT.

space group	F-43m (216)
magnetic moment	0.00	μB per formula unit
calculated total energy	-6.876	eV per atom

Cell and atoms, written as POSCAR:
```
MgZrSiOs
1.0
-2.9347 -3.2391 1.2490
-4.2148 -0.0276 -1.7026
-1.2322 -3.2171 -2.9659
Si Mg Os Zr
1 1 1 1
Direct
0.5000 0.5000 0.5000
0.7500 0.7500 0.7500
0.0000 0.0000 0.0000
0.2500 0.2500 0.2500
```

# 9
Computed, not measured: a relaxed structure of HfZnCuPb at the GGA-PBE level of DFT.

space group	F-43m (216)
magnetic moment	0.06	μB per formula unit
calculated total energy	-4.413	eV per atom

Cell and atoms, written as POSCAR:
```
HfZnCuPb
1.0
0.0000 3.3690 3.3690
3.3690 0.0000 3.3690
3.3690 3.3690 0.0000
Pb Hf Cu Zn
1 1 1 1
Direct
0.0000 0.0000 0.0000
0.5000 0.5000 0.5000
0.7500 0.7500 0.7500
0.2500 0.2500 0.2500
```

# 10
Computed, not measured: a relaxed structure of RbBi2Au2 at the GGA-PBE level of DFT.

space group	I4/mmm (139)
calculated total energy	-3.288	eV per atom

Cell and atoms, written as POSCAR:
```
RbBi2Au2
1.0
-3.6078 5.6336 2.4638
-4.6330 3.5382 -4.1037
1.5610 -6.6939 1.8920
Bi Au Rb
2 2 1
Direct
0.3731 0.3731 0.0000
0.6269 0.6269 0.0000
0.7500 0.2500 0.5000
0.2500 0.7500 0.5000
0.0000 0.0000 0.0000
```

# 11
Computed, not measured: a relaxed structure of CsTmAuSe3 at the GGA-PBE level of DFT.

space group	Cmcm (63)
magnetic moment	0.03	μB per formula unit
calculated total energy	-4.290	eV per atom

Cell and atoms, written as POSCAR:
```
CsTmAuSe3
1.0
2.0300 -8.1894 0.0000
2.0300 8.1894 0.0000
0.0000 0.0000 10.6445
Cs Se Au Tm
2 6 2 2
Direct
0.2515 0.7485 0.7500
0.7485 0.2515 0.2500
0.5667 0.4333 0.7500
0.1195 0.8805 0.0429
0.1195 0.8805 0.4571
0.8805 0.1195 0.9571
0.8805 0.1195 0.5429
0.4333 0.5667 0.2500
0.9629 0.0371 0.7500
0.0371 0.9629 0.2500
0.5000 0.5000 0.5000
0.5000 0.5000 0.0000
```

# 12
Computed, not measured: a relaxed structure of LaSm2Ga2Fe4 at the GGA-PBE level of DFT.

space group	C2/m (12)
magnetic moment	5.16	μB per formula unit
calculated total energy	-6.135	eV per atom

Cell and atoms, written as POSCAR:
```
LaSm2Ga2Fe4
1.0
5.1222 -2.1060 0.0000
5.1222 2.1060 0.0000
-1.3781 0.0000 8.0479
Fe Ga La Sm
4 2 1 2
Direct
0.7565 0.7565 0.0773
0.9210 0.9210 0.3684
0.0790 0.0790 0.6316
0.2435 0.2435 0.9227
0.6755 0.6755 0.7712
0.3245 0.3245 0.2288
0.0000 0.0000 0.0000
0.6277 0.6277 0.3809
0.3723 0.3723 0.6191
```

# 13
Computed, not measured: a relaxed structure of CsKBiAu at the GGA-PBE level of DFT.

space group	F-43m (216)
calculated total energy	-2.436	eV per atom

Cell and atoms, written as POSCAR:
```
CsKBiAu
1.0
-1.9833 0.8934 5.3925
-5.1606 2.5526 0.8140
-4.4953 -3.1017 1.9956
Bi Cs Au K
1 1 1 1
Direct
0.0000 0.0000 0.0000
0.2500 0.2500 0.2500
0.7500 0.7500 0.7500
0.5000 0.5000 0.5000
```

# 14
Computed, not measured: a relaxed structure of YLuInFe at the GGA-PBE level of DFT.

space group	F-43m (216)
magnetic moment	1.01	μB per formula unit
calculated total energy	-5.413	eV per atom

Cell and atoms, written as POSCAR:
```
YLuInFe
1.0
0.0000 3.4931 3.4931
3.4931 0.0000 3.4931
3.4931 3.4931 0.0000
Fe Lu In Y
1 1 1 1
Direct
0.7500 0.7500 0.7500
0.5000 0.5000 0.5000
0.0000 0.0000 0.0000
0.2500 0.2500 0.2500
```

# 15
Computed, not measured: a relaxed structure of DyMgCuS3 at the GGA-PBE level of DFT.

space group	Cmcm (63)
magnetic moment	0.01	μB per formula unit
calculated total energy	-4.999	eV per atom

Cell and atoms, written as POSCAR:
```
DyMgCuS3
1.0
6.0499 -1.8474 0.0000
6.0499 1.8474 0.0000
0.0000 0.0000 10.2921
Mg Cu S Dy
2 2 6 2
Direct
0.2356 0.2356 0.7500
0.7644 0.7644 0.2500
0.4806 0.4806 0.2500
0.5194 0.5194 0.7500
0.1016 0.1016 0.2500
0.6468 0.6468 0.5841
0.3532 0.3532 0.4159
0.8984 0.8984 0.7500
0.6468 0.6468 0.9159
0.3532 0.3532 0.0841
0.0000 0.0000 0.0000
0.0000 0.0000 0.5000
```

# 16
Computed, not measured: a relaxed structure of AgBiPF at the GGA-PBE level of DFT.

space group	Ama2 (40)
calculated total energy	-3.961	eV per atom

Cell and atoms, written as POSCAR:
```
AgBiPF
1.0
-4.4324 -1.3027 -0.2599
0.7807 -1.4002 -6.2973
3.6721 -4.5707 1.4715
Bi P Ag F
2 2 2 2
Direct
0.5887 0.5000 0.1787
0.4100 0.0000 0.8214
0.9014 0.5000 0.6633
0.2375 0.0000 0.3366
0.0007 0.2500 0.0000
0.0007 0.7500 0.0000
0.6177 0.0000 0.3748
0.2433 0.5000 0.6252
```

# 17
Computed, not measured: a relaxed structure of BeAlCuTc at the GGA-PBE level of DFT.

space group	F-43m (216)
magnetic moment	0.01	μB per formula unit
calculated total energy	-5.354	eV per atom

Cell and atoms, written as POSCAR:
```
BeAlCuTc
1.0
0.0000 2.9068 2.9068
2.9068 0.0000 2.9068
2.9068 2.9068 0.0000
Tc Be Cu Al
1 1 1 1
Direct
0.5000 0.5000 0.5000
0.7500 0.7500 0.7500
0.2500 0.2500 0.2500
0.0000 0.0000 0.0000
```

# 18
Computed, not measured: a relaxed structure of NdSmCo2Ge2 at the GGA-PBE level of DFT.

space group	P4mm (99)
magnetic moment	0.74	μB per formula unit
calculated total energy	-6.104	eV per atom

Cell and atoms, written as POSCAR:
```
NdSmCo2Ge2
1.0
-0.0921 -2.3729 3.3955
-3.3392 -1.9675 -1.4655
4.0062 -4.5249 -3.0534
Nd Sm Co Ge
1 1 2 2
Direct
0.0000 0.0000 0.6845
0.5000 0.5000 0.3095
0.0000 0.5000 0.0015
0.5000 0.0000 0.0015
0.5000 0.5000 0.8125
0.0000 0.0000 0.1904
```

# 19
Computed, not measured: a relaxed structure of HfTl2 at the GGA-PBE level of DFT.

space group	Fd-3m (227)
magnetic moment	0.00	μB per formula unit
calculated total energy	-4.277	eV per atom

Cell and atoms, written as POSCAR:
```
HfTl2
1.0
5.3412 -2.2958 1.1564
1.0618 -2.5371 5.2510
0.6836 -5.8766 0.3682
Tl Hf
4 2
Direct
0.6250 0.6250 0.1250
0.6250 0.6250 0.6250
0.6250 0.1250 0.6250
0.1250 0.6250 0.6250
0.0000 0.0000 0.0000
0.2500 0.2500 0.2500
```